No. 1
An optimized crystal structure of TbTm3Co4, computed with PBE.

As for the space-group type: No. 123.

Unit cell a=4.6660 b=6.6302 c=9.3320 alpha=90.00 beta=90.00 gamma=90.00
With the nearest neighbours (Å) after each atom.
Element x y z (fractional)
Tb 0.0000 0.5000 0.5000  8 Co 2.87
Tb 0.0000 0.5000 0.0000  8 Co 2.87
Tm 0.5001 0.5000 0.7500  8 Co 2.87
Tm 0.0000 0.0000 0.5000  8 Co 2.85
Tm 0.5001 0.0000 0.7500  8 Co 2.85
Tm 0.0000 0.0000 0.0000  8 Co 2.85
Tm 0.4999 0.0000 0.2500  8 Co 2.85
Tm 0.4999 0.5000 0.2500  8 Co 2.87
Co 0.0003 0.2474 0.7500  6 Tm 2.85-2.87, 2 Tb 2.87
Co 0.9997 0.2474 0.2500  6 Tm 2.85-2.87, 2 Tb 2.87
Co 0.9997 0.7526 0.2500  6 Tm 2.85-2.87, 2 Tb 2.87
Co 0.5000 0.2473 0.0000  6 Tm 2.85-2.87, 2 Tb 2.87
Co 0.5000 0.7527 0.0000  6 Tm 2.85-2.87, 2 Tb 2.87
Co 0.0003 0.7526 0.7500  6 Tm 2.85-2.87, 2 Tb 2.87
Co 0.5000 0.7527 0.5000  6 Tm 2.85-2.87, 2 Tb 2.87
Co 0.5000 0.2473 0.5000  6 Tm 2.85-2.87, 2 Tb 2.87

=====

No. 2
An optimized crystal structure of Tb3TmCo2, computed with PBE.

As for the space-group type: No. 72.

Unit cell a=6.5291 b=6.9136 c=8.1240 alpha=115.18 beta=113.69 gamma=90.00
With the nearest neighbours (Å) after each atom.
Element x y z (fractional)
Co 0.4149 0.6356 0.2712  1 Tm 2.55, 4 Tb 2.83
Co 0.5851 0.3644 0.7288  1 Tm 2.55, 4 Tb 2.83
Co 0.8563 0.1356 0.2712  1 Tm 2.55, 4 Tb 2.83
Co 0.1437 0.8644 0.7288  1 Tm 2.55, 4 Tb 2.83
Tb 0.2338 0.9838 0.4676  4 Co 2.83
Tb 0.5000 0.7500 0.0000  4 Co 2.87
Tb 0.2338 0.4838 0.4676  4 Co 2.83
Tb 0.5000 0.2500 0.0000  4 Co 2.87
Tb 0.7662 0.0162 0.5324  4 Co 2.83
Tb 0.7662 0.5162 0.5324  4 Co 2.83
Tm 0.0000 0.0000 0.0000  2 Co 2.55
Tm 0.0000 0.5000 0.0000  2 Co 2.55

=====

No. 3
An optimized crystal structure of Tb3TmCo, computed with PBE.

As for the space-group type: No. 221.

Unit cell a=5.2785 b=5.2785 c=5.2785 alpha=90.00 beta=90.00 gamma=90.00
With the nearest neighbours (Å) after each atom.
Element x y z (fractional)
Tb 0.0000 0.0000 0.5000  2 Co 2.64
Tb 0.0000 0.5000 0.0000  2 Co 2.64
Tb 0.5000 0.0000 0.0000  2 Co 2.64
Co 0.0000 0.0000 0.0000  6 Tb 2.64
Tm 0.5000 0.5000 0.5000  12 Tb 3.73

=====

No. 4
An optimized crystal structure of Tb3TmCo2, computed with PBE.

As for the space-group type: No. 12.

Unit cell a=3.7470 b=8.4150 c=9.8837 alpha=77.44 beta=79.07 gamma=77.14
With the nearest neighbours (Å) after each atom.
Element x y z (fractional)
Co 0.7680 0.4172 0.0468  2 Co 2.39
Co 0.2336 0.0820 0.4509  2 Co 2.40
Co 0.7664 0.9180 0.5491  2 Co 2.40
Co 0.2320 0.5828 0.9532  2 Co 2.39
Tb 0.4168 0.7228 0.4436  3 Co 2.78-2.96
Tb 0.5832 0.2772 0.5564  3 Co 2.78-2.96
Tb 0.4162 0.2301 0.9374  3 Co 2.76-2.92
Tb 0.5838 0.7699 0.0626  3 Co 2.76-2.92
Tb 0.8398 0.0737 0.2467  3 Co 2.74-2.98
Tb 0.1602 0.9263 0.7533  3 Co 2.74-2.98
Tm 0.1610 0.4269 0.2511  3 Co 2.74-2.94
Tm 0.8390 0.5731 0.7489  3 Co 2.74-2.94

=====

no.,ΔE_f (eV/atom)
1,-0.195
2,-0.067
3,0.031
4,-0.158